No. 1
Here is a relaxed structure of VAsPtBr2 from the Alexandria database. Energies are from PBE. Values from VASP.

## Properties
**Crystal system**: tetragonal
**SG**: No. 123
**Raw total energy**: -18.58 eV/cell
**Energy above the most stable polymorph in this dataset**: 312.5 meV/atom
**Fermi-level density of states**: 1.687 states/eV per atom

Cell and atoms, written as Quantum ESPRESSO input:
```
&SYSTEM
  ibrav = 0, nat = 5, ntyp = 4
/
ATOMIC_SPECIES
As 74.92 As.upf
Br 79.90 Br.upf
Pt 195.08 Pt.upf
V 50.94 V.upf
ATOMIC_POSITIONS crystal
As 0.000 0.000 0.500
Br 0.000 0.500 0.000
Br 0.500 0.000 0.000
Pt 0.000 0.000 0.000
V 0.500 0.500 0.500
CELL_PARAMETERS angstrom
-1.552 -4.964 0.437
2.259 -1.109 -4.573
4.102 -1.081 2.289
```

No. 2
Here is a relaxed structure of VAsPtBr2 from the Alexandria database. Energies are from PBE. Values from VASP.

## Properties
**Crystal system**: tetragonal
**SG**: No. 123
**Raw total energy**: -20.15 eV/cell
**Energy above the most stable polymorph in this dataset**: 0.0 meV/atom
**Fermi-level density of states**: 1.266 states/eV per atom

Cell and atoms, written as Quantum ESPRESSO input:
```
&SYSTEM
  ibrav = 0, nat = 5, ntyp = 4
/
ATOMIC_SPECIES
As 74.92 As.upf
Br 79.90 Br.upf
Pt 195.08 Pt.upf
V 50.94 V.upf
ATOMIC_POSITIONS crystal
As 0.000 0.000 0.500
Br 0.000 0.500 0.000
Br 0.500 0.000 0.000
Pt 0.500 0.500 0.500
V 0.000 0.000 0.000
CELL_PARAMETERS angstrom
4.688 0.000 0.000
0.000 4.688 0.000
0.000 0.000 5.149
```

No. 3
Here is a relaxed structure of AsPtWBr2 from the Alexandria database. Energies are from PBE. Values from VASP.

## Properties
**Crystal system**: tetragonal
**SG**: No. 123
**Raw total energy**: -20.25 eV/cell
**Energy above the most stable polymorph in this dataset**: 310.5 meV/atom
**Fermi-level density of states**: 1.277 states/eV per atom

Cell and atoms, written as Quantum ESPRESSO input:
```
&SYSTEM
  ibrav = 0, nat = 5, ntyp = 4
/
ATOMIC_SPECIES
As 74.92 As.upf
Br 79.90 Br.upf
W 183.84 W.upf
Pt 195.08 Pt.upf
ATOMIC_POSITIONS crystal
As 0.000 0.000 0.500
Br 0.000 0.500 0.000
Br 0.500 0.000 0.000
W 0.500 0.500 0.500
Pt 0.000 0.000 0.000
CELL_PARAMETERS angstrom
5.078 0.000 0.000
0.000 5.078 0.000
0.000 0.000 4.966
```

No. 4
Here is a relaxed structure of AsPtWBr2 from the Alexandria database. Energies are from PBE. Values from VASP.

## Properties
**Crystal system**: tetragonal
**SG**: No. 123
**Raw total energy**: -21.80 eV/cell
**Energy above the most stable polymorph in this dataset**: 0.0 meV/atom
**Fermi-level density of states**: 1.166 states/eV per atom

Cell and atoms, written as Quantum ESPRESSO input:
```
&SYSTEM
  ibrav = 0, nat = 5, ntyp = 4
/
ATOMIC_SPECIES
As 74.92 As.upf
Br 79.90 Br.upf
W 183.84 W.upf
Pt 195.08 Pt.upf
ATOMIC_POSITIONS crystal
As 0.000 0.000 0.500
Br 0.000 0.500 0.000
Br 0.500 0.000 0.000
W 0.000 0.000 0.000
Pt 0.500 0.500 0.500
CELL_PARAMETERS angstrom
4.885 0.000 0.000
0.000 4.885 0.000
0.000 0.000 5.081
```

No. 5
Here is a relaxed structure of ZnAsPtBr2 from the Alexandria database. Energies are from PBE. Values from VASP.

## Properties
**Crystal system**: tetragonal
**SG**: No. 123
**Raw total energy**: -11.38 eV/cell
**Energy above the most stable polymorph in this dataset**: 503.2 meV/atom
**Fermi-level density of states**: 1.150 states/eV per atom

Cell and atoms, written as Quantum ESPRESSO input:
```
&SYSTEM
  ibrav = 0, nat = 5, ntyp = 4
/
ATOMIC_SPECIES
Zn 65.41 Zn.upf
As 74.92 As.upf
Br 79.90 Br.upf
Pt 195.08 Pt.upf
ATOMIC_POSITIONS crystal
Zn 0.000 0.000 0.000
As 0.000 0.000 0.500
Br 0.000 0.500 0.000
Br 0.500 0.000 0.000
Pt 0.500 0.500 0.500
CELL_PARAMETERS angstrom
-0.841 -2.538 4.154
-1.573 -3.847 -2.670
4.697 -1.812 -0.156
```

No. 6
Here is a relaxed structure of ZnAs2PtBr from the Alexandria database. Energies are from PBE. Values from VASP.

## Properties
**Crystal system**: orthorhombic
**SG**: No. 47
**Raw total energy**: -14.16 eV/cell
**Energy above the most stable polymorph in this dataset**: 322.6 meV/atom
**Fermi-level density of states**: 0.783 states/eV per atom

Cell and atoms, written as Quantum ESPRESSO input:
```
&SYSTEM
  ibrav = 0, nat = 5, ntyp = 4
/
ATOMIC_SPECIES
Zn 65.41 Zn.upf
As 74.92 As.upf
Br 79.90 Br.upf
Pt 195.08 Pt.upf
ATOMIC_POSITIONS crystal
Zn 0.000 0.000 0.000
As 0.500 0.500 0.500
As 0.000 0.500 0.000
Br 0.500 0.000 0.000
Pt 0.000 0.000 0.500
CELL_PARAMETERS angstrom
4.996 0.000 0.000
0.000 4.782 0.000
0.000 0.000 4.821
```

No. 7
Here is a relaxed structure of ZnAsPtBr2 from the Alexandria database. Energies are from PBE. Values from VASP.

## Properties
**Crystal system**: tetragonal
**SG**: No. 123
**Raw total energy**: -13.90 eV/cell
**Energy above the most stable polymorph in this dataset**: 0.0 meV/atom
**Fermi-level density of states**: 0.721 states/eV per atom

Cell and atoms, written as Quantum ESPRESSO input:
```
&SYSTEM
  ibrav = 0, nat = 5, ntyp = 4
/
ATOMIC_SPECIES
Zn 65.41 Zn.upf
As 74.92 As.upf
Br 79.90 Br.upf
Pt 195.08 Pt.upf
ATOMIC_POSITIONS crystal
Zn 0.500 0.500 0.500
As 0.000 0.000 0.500
Br 0.000 0.500 0.000
Br 0.500 0.000 0.000
Pt 0.000 0.000 0.000
CELL_PARAMETERS angstrom
5.363 0.000 0.000
0.000 5.363 0.000
0.000 0.000 4.749
```

No. 8
Here is a relaxed structure of ZnAs2PtBr from the Alexandria database. Energies are from PBE. Values from VASP.

## Properties
**Crystal system**: tetragonal
**SG**: No. 123
**Raw total energy**: -15.77 eV/cell
**Energy above the most stable polymorph in this dataset**: 0.0 meV/atom
**Fermi-level density of states**: 0.899 states/eV per atom

Cell and atoms, written as Quantum ESPRESSO input:
```
&SYSTEM
  ibrav = 0, nat = 5, ntyp = 4
/
ATOMIC_SPECIES
Zn 65.41 Zn.upf
As 74.92 As.upf
Br 79.90 Br.upf
Pt 195.08 Pt.upf
ATOMIC_POSITIONS crystal
Zn 0.500 0.500 0.500
As 0.000 0.500 0.000
As 0.500 0.000 0.000
Br 0.000 0.000 0.500
Pt 0.000 0.000 0.000
CELL_PARAMETERS angstrom
4.884 0.000 0.000
0.000 4.884 0.000
0.000 0.000 5.408
```

Record order is preserved below.
Size of the total moment: 0.29; 0.00; 3.59; 0.00; 0.60; 0.00; 0.00; 0.58 μB/f.u.